First-principles (PBE) data for PuZnInSb after structural relaxation, as listed in the Alexandria database.

a = 4.392 Å, b = 4.455 Å, c = 4.837 Å
α = 90.00°, β = 90.00°, γ = 90.00°
Atoms (fractional coordinates):
Pu1 0.000 0.000 0.000
Zn1 0.500 0.000 0.500
In1 0.000 0.500 0.500
Sb1 0.500 0.500 0.000

* energy relative to the elements, uncorrected: -312 meV/atom
* electronic total energy: -5.929 eV/atom
* V: 23.659 A^3/atom
* magnetization: 5.6 μB/f.u.
* density of states at the Fermi level: 2.377 states/eV/atom